Material: Y3ZnS
Method: DFT, GGA-PBE
State: optimized geometry

The structure in CIF format:
```
data_Y3ZnS
_chemical_formula_sum 'Y12 Zn4 S4'
_cell_length_a 8.8290
_cell_length_b 3.8518
_cell_length_c 14.8056
_cell_angle_alpha 90.00
_cell_angle_beta 90.00
_cell_angle_gamma 90.00
_symmetry_space_group_name_H-M 'P n m a'
_symmetry_Int_Tables_number 62
_symmetry_space_group_name_Hall '-P 2ac 2n'
loop_
_atom_site_label
_atom_site_type_symbol
_atom_site_fract_x
_atom_site_fract_y
_atom_site_fract_z
Y1 Y 0.0136 0.2500 0.1102
Y2 Y 0.1615 0.2500 0.5385
Y3 Y 0.1686 0.7500 0.2953
Zn1 Zn 0.1139 0.7500 0.6946
S1 S 0.1771 0.2500 0.9533
```

Computed properties:
Its energy above the lowest structure with this stoichiometry is 0 kJ/mol of formula units. For the density of states at the Fermi level, the calculation gives 4.360 states/eV/f.u. As for the electronic total energy: -5.8861 eV/atom. The magnetic moment is 0.00 Bohr magnetons per cell. The uncorrected formation energy comes out at -4.64 eV per formula unit.